(1)
DFT (PBE) results for an optimized crystal structure of Nd2SnAu.

a b c (Å): 4.5792 6.3192 8.5098
angles (deg): 111.11 90.00 90.00
Sites, in units of the cell vectors:
Nd1 0.7500 0.2093 0.4382
Nd2 0.2500 0.7907 0.5618
Nd3 0.2500 0.7764 0.0836
Nd4 0.7500 0.2236 0.9164
Sn1 0.2500 0.3263 0.2076
Sn2 0.7500 0.6737 0.7924
Au1 0.7500 0.6614 0.2944
Au2 0.2500 0.3386 0.7056

## Properties
Calculated formation energy: -752 meV per atom
Total magnetization: 0.000 μB/atom
Calculated total energy: -4.96 eV/atom
D(E_F): 9.25 states/eV per cell


(2)
DFT (PBE) results for an optimized crystal structure of TbPmScCd.

a b c (Å): 5.3939 5.3939 5.3939
angles (deg): 60.00 60.00 60.00
Sites, in units of the cell vectors:
Sc1 0.2500 0.2500 0.2500
Cd1 0.7500 0.7500 0.7500
Tb1 0.5000 0.5000 0.5000
Pm1 0.0000 0.0000 0.0000

## Properties
Calculated formation energy: -54 meV per atom
Total magnetization: 0.000 μB/atom
Calculated total energy: -4.21 eV/atom
D(E_F): 5.17 states/eV per cell


(3)
DFT (PBE) results for an optimized crystal structure of Tb3CuGe.

a b c (Å): 4.2601 7.3137 8.3359
angles (deg): 87.51 89.99 106.93
Sites, in units of the cell vectors:
Tb1 0.0739 0.1808 0.4049
Tb2 0.4197 0.8706 0.6365
Tb3 0.6242 0.2835 0.7851
Tb4 0.9700 0.9733 0.0166
Tb5 0.2597 0.5519 0.0283
Tb6 0.7842 0.6022 0.3933
Cu1 0.2277 0.4890 0.6472
Cu2 0.8166 0.6650 0.7741
Ge1 0.4274 0.8879 0.2723
Ge2 0.6164 0.2662 0.1493

## Properties
Calculated formation energy: -399 meV per atom
Total magnetization: 0.000 μB/atom
Calculated total energy: -4.92 eV/atom
D(E_F): 11.30 states/eV per cell


(4)
DFT (PBE) results for an optimized crystal structure of CoWBr2.

a b c (Å): 4.8228 4.8228 4.8228
angles (deg): 125.83 125.83 80.16
Each line ends with the local moment (μB).
Sites, in units of the cell vectors:
Br1 0.0000 0.0000 0.0000  0.03
Br2 0.2500 0.7500 0.5000  0.00
Co1 0.5000 0.5000 0.0000  -0.80
W1 0.7500 0.2500 0.5000  1.21

## Properties
Total magnetization: 0.198 μB/atom
Calculated total energy: -4.40 eV/atom
Energy relative to the elements, uncorrected: 1.452 eV/atom
D(E_F): 3.19 states/eV per cell


(5)
DFT (PBE) results for an optimized crystal structure of SrSe5.

a b c (Å): 7.0933 6.1912 9.9735
angles (deg): 76.52 62.22 83.69
Sites, in units of the cell vectors:
Sr1 0.9947 0.6673 0.1996
Sr2 0.0053 0.3327 0.8004
Se1 0.8213 0.1917 0.1996
Se2 0.1787 0.8083 0.8004
Se3 0.4534 0.0726 0.3778
Se4 0.6575 0.9574 0.8927
Se5 0.5466 0.9274 0.6222
Se6 0.3425 0.0426 0.1073
Se7 0.2370 0.3926 0.4380
Se8 0.7194 0.6111 0.0383
Se9 0.7630 0.6074 0.5620
Se10 0.2806 0.3889 0.9617

## Properties
Total magnetization: 0.000 μB/atom
Calculated total energy: -3.75 eV/atom
Energy relative to the elements, uncorrected: -0.561 eV/atom


(6)
DFT (PBE) results for an optimized crystal structure of Sr2Ca3PmTe6.

a b c (Å): 4.5646 9.1909 10.2346
angles (deg): 102.80 102.89 90.00
Sites, in units of the cell vectors:
Sr1 0.8337 0.6666 0.6674
Sr2 0.1663 0.3334 0.3326
Ca1 0.5000 0.5000 0.0000
Ca2 0.8327 0.1663 0.6653
Ca3 0.1673 0.8337 0.3347
Pm1 0.5000 0.0000 0.0000
Te1 0.3347 0.9263 0.6693
Te2 0.6633 0.5913 0.3266
Te3 0.6653 0.0737 0.3307
Te4 0.9968 0.2466 0.9936
Te5 0.0032 0.7534 0.0064
Te6 0.3367 0.4087 0.6734

## Properties
Total magnetization: 0.000 μB/atom
Calculated total energy: -4.37 eV/atom
Energy relative to the elements, uncorrected: -1.618 eV/atom
D(E_F): 2.88 states/eV per cell


(7)
DFT (PBE) results for an optimized crystal structure of ZrTc3I.

a b c (Å): 4.7538 4.7538 4.7538
angles (deg): 90.00 90.00 90.00
Sites, in units of the cell vectors:
I1 0.0000 0.0000 0.0000
Tc1 0.0000 0.5000 0.0000
Tc2 0.0000 0.0000 0.5000
Tc3 0.5000 0.0000 0.0000
Zr1 0.5000 0.5000 0.5000

## Properties
Total magnetization: 0.000 μB/atom
Calculated total energy: -6.66 eV/atom
Energy relative to the elements, uncorrected: 1.575 eV/atom
D(E_F): 3.90 states/eV per cell


(8)
DFT (PBE) results for an optimized crystal structure of Er2Cd13.

a b c (Å): 7.8838 7.8838 8.2921
angles (deg): 61.62 61.62 60.00
Sites, in units of the cell vectors:
Cd1 0.5000 0.5000 0.5000
Cd2 0.3493 0.9610 0.3404
Cd3 0.3493 0.3493 0.3404
Cd4 0.9610 0.3493 0.3404
Cd5 0.0390 0.6507 0.6596
Cd6 0.6507 0.0390 0.6596
Cd7 0.6507 0.6507 0.6596
Cd8 0.1884 0.8210 0.8021
Cd9 0.1884 0.1884 0.8021
Cd10 0.8210 0.1884 0.8021
Cd11 0.1790 0.8116 0.1979
Cd12 0.8116 0.1790 0.1979
Cd13 0.8116 0.8116 0.1979
Er1 0.3454 0.3454 0.9637
Er2 0.6546 0.6546 0.0363

## Properties
Calculated formation energy: -9 meV per atom
Total magnetization: 0.000 μB/atom
Calculated total energy: -1.41 eV/atom
D(E_F): 5.18 states/eV per cell


Question: Which of these has the highest calculated total energy?
Answer: Er2Cd13


Question: Look up the total magnetization of the fifth one.
Answer: 0.000 μB/atom